Entry a
Computed, not measured: CrIBrN2 after structural relaxation at the GGA-PBE level of DFT.

```
data_CrIBrN2
_chemical_formula_sum 'Cr1 I1 Br1 N2'
_cell_length_a 3.8658
_cell_length_b 3.8658
_cell_length_c 5.7734
_cell_angle_alpha 90.00
_cell_angle_beta 90.00
_cell_angle_gamma 90.00
_space_group_name_H-M_alt 'P 4/m m m'
_space_group_IT_number 123
_space_group_name_Hall '-P 4 2'
loop_
_atom_site_label
_atom_site_type_symbol
_atom_site_fract_x
_atom_site_fract_y
_atom_site_fract_z
Cr1 Cr 0.0000 0.0000 0.0000
I1 I 0.0000 0.0000 0.5000
Br1 Br 0.5000 0.5000 0.5000
N1 N 0.0000 0.5000 0.0000
```

The density of states at the Fermi level comes out at 0.838 states/eV per atom. The value obtained for the size of the total moment is 0.00 μB/cell.

***

Entry b
Computed, not measured: CrIBrN2 after structural relaxation at the GGA-PBE level of DFT.

```
data_CrIBrN2
_chemical_formula_sum 'Cr1 I1 Br1 N2'
_cell_length_a 3.8894
_cell_length_b 3.8894
_cell_length_c 7.1614
_cell_angle_alpha 90.00
_cell_angle_beta 90.00
_cell_angle_gamma 90.00
_space_group_name_H-M_alt 'P 4/m m m'
_space_group_IT_number 123
_space_group_name_Hall '-P 4 2'
loop_
_atom_site_label
_atom_site_type_symbol
_atom_site_fract_x
_atom_site_fract_y
_atom_site_fract_z
Cr1 Cr 0.0000 0.0000 0.0000
I1 I 0.5000 0.5000 0.0000
Br1 Br 0.5000 0.5000 0.5000
N1 N 0.0000 0.5000 0.5000
```

The density of states at the Fermi level comes out at 1.993 states/eV per atom. The value obtained for the size of the total moment is 0.26 μB/cell.

***

Need the numbers? Relative energies in eV/atom: entry a 0.000; entry b 1.586.